No. 1
AcDyCdRu: optimized geometry, PBE.

- Energy of formation from the pure elements: -0.4 eV/f.u.

Cell: 7.442 7.442 7.442 Å, 90.00 90.00 90.00°
Space group F-43m (No. 216)
Inequivalent atoms, fractional coordinates:
Ac (0.000, 0.000, 0.000) (multiplicity 4)
Dy (0.000, 0.000, 0.500) (multiplicity 4)
Cd (0.250, 0.250, 0.750) (multiplicity 4)
Ru (0.250, 0.250, 0.250) (multiplicity 4)

***

No. 2
CrReNi2: optimized geometry, PBE.

- Energy of formation from the pure elements: 1.4 eV/f.u.
- Energy above the most stable polymorph in this dataset: 1.41 eV/f.u.

Cell: 5.810 5.810 5.810 Å, 90.00 90.00 90.00°
Space group Fm-3m (No. 225)
Inequivalent atoms, fractional coordinates:
Cr (0.000, 0.000, 0.000) (multiplicity 4)
Re (0.000, 0.000, 0.500) (multiplicity 4)
Ni (0.250, 0.250, 0.250) (multiplicity 8)

***

No. 3
Li2CrCd: optimized geometry, PBE.

- Energy of formation from the pure elements: 1.0 eV/f.u.

Cell: 3.308 3.308 6.516 Å, 90.00 90.00 90.00°
Space group P4mm (No. 99)
Inequivalent atoms, fractional coordinates:
Li (0.000, 0.000, 0.000) (multiplicity 1)
Li (0.500, 0.500, 0.247) (multiplicity 1)
Cr (0.500, 0.500, 0.753) (multiplicity 1)
Cd (0.000, 0.000, 0.495) (multiplicity 1)

***

No. 4
CdIn2Cu: optimized geometry, PBE.

- Energy of formation from the pure elements: 0.2 eV/f.u.

Cell: 4.280 8.089 5.286 Å, 90.00 107.30 90.00°
Space group P2_1/m (No. 11)
Inequivalent atoms, fractional coordinates:
Cd (0.029, 0.250, 0.111) (multiplicity 2)
In (0.344, 0.052, 0.712) (multiplicity 4)
Cu (0.217, 0.750, 0.449) (multiplicity 2)

***

No. 5
La3Sm2Zn3: optimized geometry, PBE.

- Energy of formation from the pure elements: -1.9 eV/f.u.

Cell: 3.768 5.437 22.196 Å, 90.00 90.00 90.00°
Space group Immm (No. 71)
Inequivalent atoms, fractional coordinates:
La (0.000, 0.000, 0.000) (multiplicity 2)
La (0.000, 0.500, 0.118) (multiplicity 4)
Sm (0.000, 0.000, 0.230) (multiplicity 4)
Zn (0.000, 0.000, 0.500) (multiplicity 2)
Zn (0.000, 0.500, 0.381) (multiplicity 4)

***

No. 6
Ba7Mn: optimized geometry, PBE.

- Energy of formation from the pure elements: 2.4 eV/f.u.

Cell: 12.108 12.108 12.108 Å, 90.00 90.00 90.00°
Space group Fm-3m (No. 225)
Inequivalent atoms, fractional coordinates:
Ba (0.000, 0.000, 0.000) (multiplicity 4)
Ba (0.000, 0.250, 0.250) (multiplicity 24)
Mn (0.000, 0.000, 0.500) (multiplicity 4)

***

No. 7
HfTlBi2: optimized geometry, PBE.

- Energy of formation from the pure elements: -0.2 eV/f.u.
- Energy above the most stable polymorph in this dataset: 0.00 eV/f.u.

Cell: 3.4126 3.4126 35.8716 Å, 90.00 90.00 120.00°
Space group R-3m (No. 166, hexagonal axes)
Inequivalent atoms, fractional coordinates:
Hf (0.0000, 0.0000, 0.0000) (multiplicity 3)
Tl (0.0000, 0.0000, 0.5000) (multiplicity 3)
Bi (0.0000, 0.0000, 0.4017) (multiplicity 6)

***

No. 8
K2La2Pt: optimized geometry, PBE.

- Energy of formation from the pure elements: -0.7 eV/f.u.

Cell: 7.643 7.643 7.267 Å, 90.00 90.00 90.00°
Space group P4/mbm (No. 127)
Inequivalent atoms, fractional coordinates:
K (0.188, 0.312, 0.000) (multiplicity 4)
La (0.175, 0.675, 0.500) (multiplicity 4)
Pt (0.000, 0.000, 0.500) (multiplicity 2)

***

No. 9
Nd6In5Pb: optimized geometry, PBE.

- Energy of formation from the pure elements: -5.8 eV/f.u.
- Energy above the most stable polymorph in this dataset: 0.11 eV/f.u.

Cell: 9.481 16.548 5.505 Å, 90.00 125.35 90.00°
Space group C2/m (No. 12)
Inequivalent atoms, fractional coordinates:
Nd (0.249, 0.000, 0.249) (multiplicity 4)
Nd (0.249, 0.167, 0.749) (multiplicity 8)
In (0.000, 0.000, 0.500) (multiplicity 2)
In (0.000, 0.167, 0.000) (multiplicity 4)
In (0.000, 0.331, 0.500) (multiplicity 4)
Pb (0.000, 0.500, 0.000) (multiplicity 2)

***

No. 10
AcInTeO: optimized geometry, PBE.

- Total energy: -0.2042 Ha/atom

Cell: 4.358 4.358 11.717 Å, 90.00 90.00 90.00°
Space group P4/nmm (No. 129, origin choice 2)
Inequivalent atoms, fractional coordinates:
Ac (0.250, 0.250, 0.105) (multiplicity 2)
In (0.250, 0.750, 0.500) (multiplicity 2)
Te (0.250, 0.250, 0.726) (multiplicity 2)
O (0.250, 0.750, 0.000) (multiplicity 2)

***

No. 11
ZnCuP2: optimized geometry, PBE.

- Energy of formation from the pure elements: 1.3 eV/f.u.

Cell: 4.906 4.906 2.434 Å, 90.00 90.00 90.00°
Space group P4/mmm (No. 123)
Inequivalent atoms, fractional coordinates:
Zn (0.000, 0.000, 0.000) (multiplicity 1)
Cu (0.500, 0.500, 0.000) (multiplicity 1)
P (0.000, 0.500, 0.500) (multiplicity 2)

***

No. 12
CaSi2Rh: optimized geometry, PBE.

- Total energy: -0.2000 Ha/atom

Cell: 3.040 4.234 5.520 Å, 90.00 90.00 90.00°
Space group Pmmm (No. 47)
Inequivalent atoms, fractional coordinates:
Ca (0.000, 0.000, 0.000) (multiplicity 1)
Si (0.500, 0.500, 0.277) (multiplicity 2)
Rh (0.500, 0.000, 0.500) (multiplicity 1)